DFT (GGA-PBE) results for a geometry-optimized Ce3PtSe6 structure.

abc: 8.2549 8.2549 8.2549
angles: 99.32 99.32 99.32
Positions (direct):
Ce 0.1233 0.7985 0.6322
Ce 0.2015 0.3678 0.8767
Ce 0.3678 0.8767 0.2015
Ce 0.6322 0.1233 0.7985
Ce 0.7985 0.6322 0.1233
Ce 0.8767 0.2015 0.3678
Pt 0.0000 0.0000 0.0000
Pt 0.5000 0.5000 0.5000
Se 0.0671 0.9266 0.3177
Se 0.0734 0.6823 0.9329
Se 0.1905 0.4486 0.5346
Se 0.3177 0.0671 0.9266
Se 0.4486 0.5346 0.1905
Se 0.4654 0.8095 0.5514
Se 0.5346 0.1905 0.4486
Se 0.5514 0.4654 0.8095
Se 0.6823 0.9329 0.0734
Se 0.8095 0.5514 0.4654
Se 0.9266 0.3177 0.0671
Se 0.9329 0.0734 0.6823

Output
space group	R-3 (148)
formation energy (no corrections)	-1.371	eV per atom
M_tot	1.9	μB per formula unit
calculated total energy	-5.846	eV per atom
volume	268.7	Å³/f.u.



DFT (GGA-PBE) results for a geometry-optimized TmCuH8Rh4 structure.

abc: 5.4778 5.4778 5.4778
angles: 62.93 62.93 62.93
Positions (direct):
Tm 0.0000 0.0000 0.0000
Cu 0.6002 0.6002 0.6002
H 0.3186 0.3186 0.8623
H 0.3186 0.8623 0.3186
H 0.3736 0.3736 0.3736
H 0.4556 0.8252 0.8252
H 0.8252 0.4556 0.8252
H 0.8252 0.8252 0.4556
H 0.8345 0.8345 0.8345
H 0.8623 0.3186 0.3186
Rh 0.1079 0.6072 0.6072
Rh 0.2385 0.2385 0.2385
Rh 0.6072 0.1079 0.6072
Rh 0.6072 0.6072 0.1079

Output
space group	R3m (160)
M_tot	0.0	μB per formula unit
calculated total energy	-4.817	eV per atom
volume	123.8	Å³/f.u.



DFT (GGA-PBE) results for a geometry-optimized Ac4SnHg2 structure.

abc: 9.8096 9.8096 9.8096
angles: 33.71 33.71 33.71
Positions (direct):
Ac 0.1216 0.1216 0.1216
Ac 0.3736 0.3736 0.3736
Ac 0.6264 0.6264 0.6264
Ac 0.8784 0.8784 0.8784
Sn 0.5000 0.5000 0.5000
Hg 0.2536 0.2536 0.2536
Hg 0.7464 0.7464 0.7464

Output
space group	R-3m (166)
ΔE_f	-0.36	eV per atom
M_tot	0.0	μB per formula unit
calculated total energy	-3.369	eV per atom
volume	259.1	Å³/f.u.



DFT (GGA-PBE) results for a geometry-optimized Pd4SeS structure.

abc: 7.6292 7.6292 8.6693
angles: 94.68 94.68 27.97
Positions (direct):
Pd 0.0870 0.0870 0.4443
Pd 0.0872 0.0872 0.9637
Pd 0.2661 0.2661 0.6179
Pd 0.3523 0.3523 0.2762
Pd 0.6477 0.6477 0.7238
Pd 0.7339 0.7339 0.3821
Pd 0.9128 0.9128 0.0363
Pd 0.9130 0.9130 0.5557
Se 0.1748 0.1748 0.2123
Se 0.8252 0.8252 0.7877
S 0.0506 0.0506 0.7066
S 0.9494 0.9494 0.2934

Output
space group	C2/m (12)
formation energy (no corrections)	-0.124	eV per atom
M_tot	0.0	μB per formula unit
calculated total energy	-4.855	eV per atom
volume	117.9	Å³/f.u.



DFT (GGA-PBE) results for a geometry-optimized LiTlSb3 structure.

abc: 5.1700 5.1700 5.1700
angles: 90.00 90.00 90.00
Positions (direct):
Li 0.0000 0.0000 0.0000
Tl 0.5000 0.5000 0.5000
Sb 0.0000 0.0000 0.5000
Sb 0.0000 0.5000 0.0000
Sb 0.5000 0.0000 0.0000

Output
space group	Pm-3m (221)
formation energy (no corrections)	0.226	eV per atom
M_tot	0.0	μB per formula unit
calculated total energy	-3.103	eV per atom
volume	138.2	Å³/f.u.



DFT (GGA-PBE) results for a geometry-optimized Er8AlIr2 structure.

abc: 7.8131 7.8131 5.3766
angles: 97.68 97.68 112.74
Positions (direct):
Er 0.0683 0.3274 0.5788
Er 0.2439 0.7561 0.0000
Er 0.3274 0.0683 0.5788
Er 0.3802 0.3802 0.1953
Er 0.6198 0.6198 0.8047
Er 0.6726 0.9317 0.4212
Er 0.7561 0.2439 0.0000
Er 0.9317 0.6726 0.4212
Al 0.0000 0.0000 0.0000
Ir 0.3118 0.6882 0.5000
Ir 0.6882 0.3118 0.5000

Output
space group	C2/m (12)
ΔE_f	-0.42	eV per atom
M_tot	0.0	μB per formula unit
calculated total energy	-5.686	eV per atom
volume	293.7	Å³/f.u.



DFT (GGA-PBE) results for a geometry-optimized La4Nd3Pb4 structure.

abc: 11.1957 11.1957 11.1957
angles: 160.40 128.31 55.81
Positions (direct):
La 0.0039 0.8355 0.1684
La 0.3329 0.1645 0.1684
La 0.6671 0.8355 0.8316
La 0.9961 0.1645 0.8316
Nd 0.0000 0.5000 0.5000
Nd 0.4101 0.4101 0.0000
Nd 0.5899 0.5899 0.0000
Pb 0.2754 0.0000 0.2754
Pb 0.2784 0.7784 0.5000
Pb 0.7216 0.2216 0.5000
Pb 0.7246 0.0000 0.7246

Output
space group	Immm (71)
ΔE_f	-0.45	eV per atom
M_tot	0.0	μB per formula unit
calculated total energy	-4.893	eV per atom
volume	368.1	Å³/f.u.



DFT (GGA-PBE) results for a geometry-optimized Tb5NdEr structure.

abc: 6.7795 6.7795 12.2784
angles: 108.07 108.07 59.85
Positions (direct):
Tb 0.0890 0.3482 0.7449
Tb 0.0916 0.9084 0.7500
Tb 0.1551 0.6863 0.9993
Tb 0.3137 0.8449 0.5007
Tb 0.3482 0.0890 0.2449
Tb 0.6518 0.9110 0.7551
Tb 0.6863 0.1551 0.4993
Tb 0.8449 0.3137 0.0007
Tb 0.9084 0.0916 0.2500
Tb 0.9110 0.6518 0.2551
Nd 0.4684 0.5316 0.2500
Nd 0.5316 0.4684 0.7500
Er 0.0000 0.5000 0.5000
Er 0.5000 0.0000 0.0000

Output
space group	C2/c (15)
ΔE_f	0.19	eV per atom
M_tot	0.0	μB per formula unit
calculated total energy	-4.453	eV per atom
volume	227.8	Å³/f.u.



DFT (GGA-PBE) results for a geometry-optimized Ac12ZnPd6 structure.

abc: 9.0652 9.0652 9.0652
angles: 100.24 100.24 100.24
Positions (direct):
Ac 0.0579 0.9003 0.6746
Ac 0.0997 0.3254 0.9421
Ac 0.1816 0.5700 0.4020
Ac 0.3254 0.9421 0.0997
Ac 0.4020 0.1816 0.5700
Ac 0.4300 0.5980 0.8184
Ac 0.5700 0.4020 0.1816
Ac 0.5980 0.8184 0.4300
Ac 0.6746 0.0579 0.9003
Ac 0.8184 0.4300 0.5980
Ac 0.9003 0.6746 0.0579
Ac 0.9421 0.0997 0.3254
Zn 0.0000 0.0000 0.0000
Pd 0.1341 0.3318 0.6153
Pd 0.3318 0.6153 0.1341
Pd 0.3847 0.8659 0.6682
Pd 0.6153 0.1341 0.3318
Pd 0.6682 0.3847 0.8659
Pd 0.8659 0.6682 0.3847

Output
space group	R-3 (148)
ΔE_f	-0.41	eV per atom
M_tot	0.0	μB per formula unit
calculated total energy	-4.716	eV per atom
volume	704.4	Å³/f.u.



DFT (GGA-PBE) results for a geometry-optimized Na2CrPb structure.

abc: 6.8132 6.8132 6.8132
angles: 100.09 100.09 130.52
Positions (direct):
Na 0.1128 0.1250 0.4878
Na 0.3750 0.8872 0.0122
Na 0.6372 0.6250 0.5122
Na 0.8750 0.3628 0.9878
Cr 0.0000 0.0000 0.0000
Cr 0.7500 0.2500 0.5000
Pb 0.2500 0.7500 0.5000
Pb 0.5000 0.5000 0.0000

Output
space group	I-42d (122)
ΔE_f	0.49	eV per atom
M_tot	4.1	μB per formula unit
calculated total energy	-3.499	eV per atom
volume	109.2	Å³/f.u.



DFT (GGA-PBE) results for a geometry-optimized Pm3Pr2SmDy6 structure.

abc: 6.2570 6.2570 11.8640
angles: 95.03 95.03 119.99
Positions (direct):
Pm 0.0000 0.0000 0.0000
Pm 0.3332 0.6668 0.0000
Pm 0.6668 0.3332 0.0000
Pr 0.1666 0.8334 0.5000
Pr 0.8334 0.1666 0.5000
Sm 0.5000 0.5000 0.5000
Dy 0.0832 0.4163 0.2492
Dy 0.2507 0.2507 0.7509
Dy 0.4163 0.0832 0.2492
Dy 0.5837 0.9168 0.7508
Dy 0.7493 0.7493 0.2491
Dy 0.9168 0.5837 0.7508

Output
space group	C2/m (12)
ΔE_f	0.01	eV per atom
M_tot	0.0	μB per formula unit
calculated total energy	-4.666	eV per atom
volume	396.1	Å³/f.u.



DFT (GGA-PBE) results for a geometry-optimized YInAs2 structure.

abc: 5.4544 5.4544 5.6715
angles: 104.46 104.46 38.15
Positions (direct):
Y 0.0000 0.0000 0.0000
In 0.5000 0.5000 0.5000
As 0.2550 0.2550 0.8357
As 0.7450 0.7450 0.1643

Output
space group	C2/m (12)
ΔE_f	-0.39	eV per atom
M_tot	0.0	μB per formula unit
calculated total energy	-5.017	eV per atom
volume	100.5	Å³/f.u.



DFT (GGA-PBE) results for a geometry-optimized LaZrNi2 structure.

abc: 6.4903 6.4903 6.4903
angles: 36.63 36.63 36.63
Positions (direct):
La 0.0000 0.0000 0.0000
Zr 0.1835 0.1835 0.1835
Ni 0.4464 0.4464 0.4464
Ni 0.7796 0.7796 0.7796

Output
space group	R3m (160)
ΔE_f	-0.15	eV per atom
M_tot	0.0	μB per formula unit
calculated total energy	-6.407	eV per atom
volume	87.2	Å³/f.u.



DFT (GGA-PBE) results for a geometry-optimized Na3SrMg3 structure.

abc: 8.3886 8.3886 8.3886
angles: 90.00 90.00 90.00
Positions (direct):
Na 0.0000 0.2500 0.5000
Na 0.0000 0.7500 0.5000
Na 0.2500 0.5000 0.0000
Na 0.5000 0.0000 0.2500
Na 0.5000 0.0000 0.7500
Na 0.7500 0.5000 0.0000
Sr 0.0000 0.0000 0.0000
Sr 0.5000 0.5000 0.5000
Mg 0.0000 0.5000 0.2500
Mg 0.0000 0.5000 0.7500
Mg 0.2500 0.0000 0.5000
Mg 0.5000 0.2500 0.0000
Mg 0.5000 0.7500 0.0000
Mg 0.7500 0.0000 0.5000

Output
space group	Pm-3n (223)
ΔE_f	0.49	eV per atom
M_tot	0.0	μB per formula unit
calculated total energy	-0.998	eV per atom
volume	295.1	Å³/f.u.



DFT (GGA-PBE) results for a geometry-optimized TbSmRu structure.

abc: 4.7383 4.7383 3.6815
angles: 90.00 90.00 120.00
Positions (direct):
Tb 0.0000 0.0000 0.0000
Sm 0.6667 0.3333 0.4513
Ru 0.3333 0.6667 0.7483

Output
space group	P3m1 (156)
ΔE_f	-0.09	eV per atom
M_tot	0.0	μB per formula unit
calculated total energy	-6.294	eV per atom
volume	71.6	Å³/f.u.



DFT (GGA-PBE) results for a geometry-optimized TbCe3Pr2Te6 structure.

abc: 7.7452 7.7452 7.8137
angles: 99.50 99.50 120.05
Positions (direct):
Tb 0.0000 0.0000 0.0000
Ce 0.1715 0.8285 0.5000
Ce 0.5000 0.5000 0.5000
Ce 0.8285 0.1715 0.5000
Pr 0.3341 0.6659 0.0000
Pr 0.6659 0.3341 0.0000
Te 0.0819 0.4074 0.2470
Te 0.2407 0.2407 0.7480
Te 0.4074 0.0819 0.2470
Te 0.5926 0.9181 0.7530
Te 0.7593 0.7593 0.2520
Te 0.9181 0.5926 0.7530

Output
space group	C2/m (12)
formation energy (no corrections)	-1.389	eV per atom
M_tot	3.4	μB per formula unit
calculated total energy	-5.626	eV per atom
volume	382.9	Å³/f.u.